No. 1
Material: CaCe2Ti
Method: DFT, PBE
State: optimized geometry

Unit cell a=3.236 b=3.236 c=12.030 alpha=82.27 beta=82.27 gamma=60.00
Last column: magnetic moment on the atom in μB.
Element x y z (fractional)
Ce 0.906 0.906 0.283  0.35
Ce 0.094 0.094 0.717  0.35
Ti 0.500 0.500 0.500  0.01
Ca 0.000 0.000 0.000  -0.01

Calculated values
**Formation energy from the elements**: 33.65 kJ/mol of atoms
**SG**: No. 166

***

No. 2
Material: CaCe4Tl5
Method: DFT, PBE
State: optimized geometry

Unit cell a=3.519 b=3.519 c=23.216 alpha=90.00 beta=90.00 gamma=90.00
Last column: magnetic moment on the atom in μB.
Element x y z (fractional)
Tl 0.500 0.500 0.500  0.00
Ce 0.000 0.000 0.600  -0.97
Tl 0.500 0.500 0.300  0.00
Tl 0.500 0.500 0.901  0.01
Ce 0.000 0.000 0.801  -0.93
Ce 0.000 0.000 0.400  -0.97
Ce 0.000 0.000 0.199  -0.93
Ca 0.000 0.000 0.000  0.01
Tl 0.500 0.500 0.099  0.01
Tl 0.500 0.500 0.700  0.00

Calculated values
**Formation energy from the elements**: -26.04 kJ/mol of atoms
**SG**: No. 123

***

No. 3
Material: CaCeTl
Method: DFT, PBE
State: optimized geometry

Unit cell a=3.742 b=5.404 c=5.404 alpha=120.00 beta=90.00 gamma=90.00
Last column: magnetic moment on the atom in μB.
Element x y z (fractional)
Tl 0.355 0.667 0.333  -0.02
Ce 0.045 0.000 0.000  0.98
Ca 0.600 0.333 0.667  0.03

Calculated values
**Formation energy from the elements**: -4.35 kJ/mol of atoms
**Energy above the most stable polymorph in this dataset**: 198.8 meV per atom
**SG**: No. 156

***

No. 4
Material: Ca2CeTl3
Method: DFT, PBE
State: optimized geometry

Unit cell a=3.824 b=3.824 c=12.096 alpha=90.00 beta=90.00 gamma=90.00
Last column: magnetic moment on the atom in μB.
Element x y z (fractional)
Ca 0.500 0.500 0.838  0.00
Ca 0.500 0.500 0.162  0.00
Tl 0.000 0.000 0.329  0.00
Ce 0.500 0.500 0.500  1.00
Tl 0.000 0.000 0.671  0.00
Tl 0.000 0.000 0.000  0.00

Calculated values
**Formation energy from the elements**: -34.96 kJ/mol of atoms
**SG**: No. 123

***

No. 5
Material: CaCeTl4
Method: DFT, PBE
State: optimized geometry

Unit cell a=6.341 b=6.341 c=6.341 alpha=60.00 beta=60.00 gamma=60.00
Last column: magnetic moment on the atom in μB.
Element x y z (fractional)
Ce 0.000 0.000 0.000  1.16
Tl 0.625 0.625 0.124  0.02
Tl 0.625 0.124 0.625  0.02
Ca 0.250 0.250 0.250  0.04
Tl 0.625 0.625 0.625  0.02
Tl 0.124 0.625 0.625  0.02

Calculated values
**Formation energy from the elements**: -7.79 kJ/mol of atoms
**Energy above the most stable polymorph in this dataset**: 143.3 meV per atom
**SG**: No. 216

***

No. 6
Material: Ca2CeTl9
Method: DFT, PBE
State: optimized geometry

Unit cell a=4.860 b=4.860 c=14.578 alpha=90.00 beta=90.00 gamma=90.00
Last column: magnetic moment on the atom in μB.
Element x y z (fractional)
Tl 0.500 0.500 0.668  0.00
Ca 0.000 0.000 0.667  0.00
Ca 0.000 0.000 0.333  0.00
Tl 0.000 0.500 0.500  0.00
Tl 0.500 0.500 0.000  0.00
Tl 0.500 0.000 0.834  0.00
Tl 0.500 0.000 0.166  0.00
Tl 0.000 0.500 0.834  0.00
Ce 0.000 0.000 0.000  0.86
Tl 0.500 0.500 0.332  0.00
Tl 0.500 0.000 0.500  0.00
Tl 0.000 0.500 0.166  0.00

Calculated values
**Formation energy from the elements**: -22.39 kJ/mol of atoms
**SG**: No. 123

***

No. 7
Material: CaCe2Tl6
Method: DFT, PBE
State: optimized geometry

Unit cell a=4.761 b=7.686 c=8.364 alpha=117.35 beta=90.00 gamma=90.00
Last column: magnetic moment on the atom in μB.
Element x y z (fractional)
Tl 0.500 0.301 0.000  0.00
Tl 0.000 0.151 0.702  0.01
Tl 0.000 0.449 0.298  0.01
Tl 0.500 0.699 0.000  0.00
Ce 0.500 0.213 0.425  1.02
Tl 0.000 0.551 0.702  0.01
Ca 0.000 0.000 0.000  0.00
Ce 0.500 0.787 0.575  1.02
Tl 0.000 0.849 0.298  0.01

Calculated values
**Formation energy from the elements**: -10.00 kJ/mol of atoms
**SG**: No. 65

***

No. 8
Material: Ca2CeTl
Method: DFT, PBE
State: optimized geometry

Unit cell a=5.254 b=4.960 c=4.960 alpha=90.00 beta=90.00 gamma=90.00
Last column: magnetic moment on the atom in μB.
Element x y z (fractional)
Ca 0.000 0.000 0.500  0.01
Ce 0.500 0.500 0.500  0.94
Ca 0.000 0.500 0.000  0.01
Tl 0.500 0.000 0.000  -0.01

Calculated values
**Formation energy from the elements**: -6.79 kJ/mol of atoms
**Energy above the most stable polymorph in this dataset**: 0.0 meV per atom
**SG**: No. 123

***

No. 9
Material: CaCeTl3
Method: DFT, PBE
State: optimized geometry

Unit cell a=6.756 b=7.398 c=7.398 alpha=120.00 beta=90.00 gamma=90.00
Last column: magnetic moment on the atom in μB.
Element x y z (fractional)
Tl 0.250 0.398 0.199  0.01
Tl 0.750 0.199 0.398  0.01
Tl 0.250 0.801 0.602  0.01
Ce 0.750 0.666 0.334  1.12
Tl 0.750 0.602 0.801  0.01
Ca 0.500 0.000 0.000  0.00
Ca 0.000 0.000 0.000  0.00
Tl 0.750 0.199 0.801  0.01
Ce 0.250 0.334 0.666  1.12
Tl 0.250 0.801 0.199  0.01

Calculated values
**Formation energy from the elements**: -5.61 kJ/mol of atoms
**SG**: No. 194

***

No. 10
Material: CaCeTl
Method: DFT, PBE
State: optimized geometry

Unit cell a=3.824 b=3.824 c=13.280 alpha=98.28 beta=98.28 gamma=90.00
Last column: magnetic moment on the atom in μB.
Element x y z (fractional)
Tl 0.147 0.147 0.293  -0.01
Ce 0.275 0.275 0.551  0.27
Tl 0.853 0.853 0.707  -0.01
Ce 0.725 0.725 0.449  0.27
Ca 0.572 0.572 0.145  0.00
Ca 0.428 0.428 0.855  0.00

Calculated values
**Formation energy from the elements**: -13.77 kJ/mol of atoms
**Energy above the most stable polymorph in this dataset**: 101.2 meV per atom
**SG**: No. 139

***

No. 11
Material: Ca2CeTl
Method: DFT, PBE
State: optimized geometry

Unit cell a=3.616 b=3.616 c=10.119 alpha=90.00 beta=90.00 gamma=90.00
Last column: magnetic moment on the atom in μB.
Element x y z (fractional)
Ca 0.000 0.000 0.787  0.01
Ca 0.000 0.000 0.213  0.01
Tl 0.500 0.500 0.000  -0.01
Ce 0.500 0.500 0.500  1.11

Calculated values
**Formation energy from the elements**: -5.59 kJ/mol of atoms
**Energy above the most stable polymorph in this dataset**: 12.5 meV per atom
**SG**: No. 123

***

No. 12
Material: Ca5CeTl6
Method: DFT, PBE
State: optimized geometry

Unit cell a=5.490 b=7.854 c=9.540 alpha=65.69 beta=73.21 gamma=90.00
Last column: magnetic moment on the atom in μB.
Element x y z (fractional)
Tl 0.834 0.085 0.332  0.00
Ce 0.000 0.000 0.000  0.89
Tl 0.500 0.749 0.000  0.01
Ca 0.000 0.500 0.000  0.00
Ca 0.333 0.333 0.334  0.00
Ca 0.669 0.169 0.662  0.00
Ca 0.331 0.831 0.338  0.00
Tl 0.500 0.251 0.000  0.01
Tl 0.166 0.915 0.668  0.00
Ca 0.667 0.667 0.666  0.00
Tl 0.834 0.583 0.332  0.00
Tl 0.166 0.417 0.668  0.00

Calculated values
**Formation energy from the elements**: -39.04 kJ/mol of atoms
**SG**: No. 12

***

No. 13
Material: Ca3CeTl12
Method: DFT, PBE
State: optimized geometry

Unit cell a=4.900 b=4.900 c=19.197 alpha=90.00 beta=90.00 gamma=90.00
Last column: magnetic moment on the atom in μB.
Element x y z (fractional)
Ca 0.000 0.000 0.751  0.00
Tl 0.500 0.000 0.375  0.00
Tl 0.500 0.000 0.625  0.00
Tl 0.000 0.500 0.375  0.00
Tl 0.500 0.000 0.124  0.00
Ca 0.000 0.000 0.500  0.00
Tl 0.000 0.500 0.876  0.00
Tl 0.500 0.000 0.876  0.00
Tl 0.500 0.500 0.250  0.00
Ca 0.000 0.000 0.249  0.00
Tl 0.500 0.500 0.750  0.00
Ce 0.000 0.000 0.000  0.90
Tl 0.000 0.500 0.124  0.00
Tl 0.500 0.500 0.000  0.01
Tl 0.500 0.500 0.500  0.00
Tl 0.000 0.500 0.625  0.00

Calculated values
**Formation energy from the elements**: -22.05 kJ/mol of atoms
**SG**: No. 123

***

No. 14
Material: Ca2CeTl
Method: DFT, PBE
State: optimized geometry

Unit cell a=3.625 b=3.625 c=12.871 alpha=81.90 beta=81.90 gamma=60.00
Last column: magnetic moment on the atom in μB.
Element x y z (fractional)
Ca 0.914 0.914 0.258  0.03
Ce 0.500 0.500 0.500  1.00
Tl 0.000 0.000 0.000  0.00
Ca 0.086 0.086 0.742  0.03

Calculated values
**Formation energy from the elements**: 15.13 kJ/mol of atoms
**Energy above the most stable polymorph in this dataset**: 227.2 meV per atom
**SG**: No. 166

***

No. 15
Material: CaCeTl
Method: DFT, PBE
State: optimized geometry

Unit cell a=3.589 b=3.589 c=7.871 alpha=103.18 beta=103.18 gamma=90.00
Last column: magnetic moment on the atom in μB.
Element x y z (fractional)
Ce 0.266 0.266 0.531  1.13
Ca 0.968 0.968 0.936  0.03
Tl 0.616 0.616 0.232  0.00

Calculated values
**Formation energy from the elements**: -10.81 kJ/mol of atoms
**Energy above the most stable polymorph in this dataset**: 131.9 meV per atom
**SG**: No. 107

***

No. 16
Material: CaCeTl
Method: DFT, PBE
State: optimized geometry

Unit cell a=3.814 b=3.967 c=12.111 alpha=90.00 beta=92.51 gamma=90.00
Last column: magnetic moment on the atom in μB.
Element x y z (fractional)
Tl 0.702 0.750 0.722  0.00
Ce 0.171 0.250 0.558  0.14
Ce 0.829 0.750 0.442  0.14
Ca 0.237 0.250 0.879  0.00
Ca 0.763 0.750 0.121  0.00
Tl 0.298 0.250 0.278  0.00

Calculated values
**Formation energy from the elements**: -23.53 kJ/mol of atoms
**Energy above the most stable polymorph in this dataset**: 0.0 meV per atom
**SG**: No. 11

***

No. 17
Material: CaCeTl4
Method: DFT, PBE
State: optimized geometry

Unit cell a=3.801 b=5.127 c=9.063 alpha=90.00 beta=91.15 gamma=90.00
Last column: magnetic moment on the atom in μB.
Element x y z (fractional)
Ca 0.249 0.997 0.495  0.00
Tl 0.867 0.997 0.162  0.00
Tl 0.878 0.497 0.667  0.00
Tl 0.640 0.497 0.334  0.00
Ce 0.254 0.497 0.001  1.02
Tl 0.619 0.997 0.830  0.00

Calculated values
**Formation energy from the elements**: -21.61 kJ/mol of atoms
**Energy above the most stable polymorph in this dataset**: 0.0 meV per atom
**SG**: No. 6

***

No. 18
Material: Ca2CeTl4
Method: DFT, PBE
State: optimized geometry

Unit cell a=5.431 b=5.431 c=7.617 alpha=90.00 beta=90.00 gamma=90.00
Last column: magnetic moment on the atom in μB.
Element x y z (fractional)
Tl 0.500 0.000 0.737  0.01
Tl 0.500 0.000 0.263  0.01
Ce 0.500 0.500 0.000  0.84
Tl 0.000 0.500 0.263  0.01
Ca 0.500 0.500 0.500  0.01
Ca 0.000 0.000 0.000  0.00
Tl 0.000 0.500 0.737  0.01

Calculated values
**Formation energy from the elements**: -20.96 kJ/mol of atoms
**SG**: No. 123

***

No. 19
Material: Ca3Ce2Tl4
Method: DFT, PBE
State: optimized geometry

Unit cell a=5.465 b=5.471 c=10.724 alpha=89.95 beta=90.00 gamma=60.03
Last column: magnetic moment on the atom in μB.
Element x y z (fractional)
Ca 0.000 0.000 0.000  0.01
Tl 0.001 0.999 0.340  0.01
Tl 0.333 0.333 0.108  0.02
Ca 0.666 0.668 0.581  0.01
Ce 0.667 0.667 0.201  0.91
Tl 0.667 0.667 0.892  0.02
Ce 0.333 0.333 0.799  0.91
Ca 0.334 0.332 0.419  0.01
Tl 0.999 0.001 0.660  0.01

Calculated values
**Formation energy from the elements**: -25.09 kJ/mol of atoms
**SG**: No. 12

***

No. 20
Material: Ca2Ce2Tl7
Method: DFT, PBE
State: optimized geometry

Unit cell a=7.012 b=7.957 c=7.012 alpha=90.01 beta=104.73 gamma=89.99
Last column: magnetic moment on the atom in μB.
Element x y z (fractional)
Tl 0.500 0.700 0.000  0.00
Tl 0.500 0.293 0.500  0.00
Tl 0.000 0.300 0.500  0.00
Ce 0.304 0.000 0.696  0.93
Ca 0.805 0.500 0.805  0.00
Tl 0.000 0.000 0.000  0.02
Tl 0.500 0.707 0.500  0.00
Ca 0.195 0.500 0.195  0.00
Tl 0.500 0.300 0.000  0.00
Ce 0.696 0.000 0.304  0.93
Tl 0.000 0.700 0.500  0.00

Calculated values
**Formation energy from the elements**: 6.07 kJ/mol of atoms
**SG**: No. 65

***

No. 21
Material: CaCeTl6
Method: DFT, PBE
State: optimized geometry

Unit cell a=4.842 b=4.842 c=9.729 alpha=90.00 beta=90.00 gamma=90.00
Last column: magnetic moment on the atom in μB.
Element x y z (fractional)
Tl 0.000 0.500 0.251  0.00
Tl 0.500 0.000 0.749  0.00
Tl 0.000 0.500 0.749  0.00
Ce 0.000 0.000 0.500  0.85
Ca 0.000 0.000 0.000  0.00
Tl 0.500 0.000 0.251  0.00
Tl 0.500 0.500 0.000  -0.01
Tl 0.500 0.500 0.500  0.00

Calculated values
**Formation energy from the elements**: -22.23 kJ/mol of atoms
**SG**: No. 123

***

No. 22
Material: Ca2CeTmTl4
Method: DFT, PBE
State: optimized geometry

Unit cell a=5.453 b=5.453 c=9.500 alpha=73.32 beta=73.32 gamma=60.00
Last column: magnetic moment on the atom in μB.
Element x y z (fractional)
Ca 0.749 0.749 0.753  0.00
Ca 0.251 0.251 0.247  0.00
Tl 0.374 0.374 0.879  0.00
Tl 0.877 0.877 0.369  0.01
Ce 0.500 0.500 0.500  0.88
Tl 0.626 0.626 0.121  0.00
Tm 0.000 0.000 0.000  0.00
Tl 0.123 0.123 0.631  0.01

Calculated values
**Formation energy from the elements**: -32.02 kJ/mol of atoms
**SG**: No. 166

***

No. 23
Material: CaCe2YTl4
Method: DFT, PBE
State: optimized geometry

Unit cell a=5.472 b=5.472 c=9.520 alpha=73.30 beta=73.30 gamma=60.00
Last column: magnetic moment on the atom in μB.
Element x y z (fractional)
Tl 0.377 0.377 0.870  0.01
Tl 0.126 0.126 0.621  0.01
Y 0.500 0.500 0.500  0.04
Tl 0.874 0.874 0.379  0.01
Ca 0.000 0.000 0.000  0.00
Ce 0.252 0.252 0.243  0.86
Tl 0.623 0.623 0.130  0.01
Ce 0.748 0.748 0.757  0.86

Calculated values
**Formation energy from the elements**: -30.38 kJ/mol of atoms
**SG**: No. 166

***

No. 24
Material: CaCeTm
Method: DFT, PBE
State: optimized geometry

Unit cell a=3.554 b=3.554 c=8.317 alpha=102.34 beta=102.34 gamma=90.00
Last column: magnetic moment on the atom in μB.
Element x y z (fractional)
Tm 0.676 0.676 0.352  -0.04
Ce 0.323 0.323 0.646  0.78
Ca 0.001 0.001 0.002  0.02

Calculated values
**Formation energy from the elements**: 15.31 kJ/mol of atoms
**Energy above the most stable polymorph in this dataset**: 14.7 meV per atom
**SG**: No. 107

***

No. 25
Material: CaCe2Tm
Method: DFT, PBE
State: optimized geometry

Unit cell a=3.413 b=3.413 c=12.749 alpha=82.31 beta=82.31 gamma=60.00
Last column: magnetic moment on the atom in μB.
Element x y z (fractional)
Ce 0.910 0.910 0.269  0.69
Tm 0.500 0.500 0.500  0.02
Ce 0.090 0.090 0.731  0.69
Ca 0.000 0.000 0.000  0.00

Calculated values
**Formation energy from the elements**: 23.56 kJ/mol of atoms
**SG**: No. 166

***

No. 26
Material: CaCeTm
Method: DFT, PBE
State: optimized geometry

Unit cell a=3.567 b=3.567 c=9.002 alpha=90.00 beta=90.00 gamma=120.00
Last column: magnetic moment on the atom in μB.
Element x y z (fractional)
Tm 0.667 0.333 0.347  0.01
Ce 0.333 0.667 0.651  0.78
Ca 0.000 0.000 0.002  0.02

Calculated values
**Formation energy from the elements**: 13.90 kJ/mol of atoms
**Energy above the most stable polymorph in this dataset**: 0.0 meV per atom
**SG**: No. 156